DFT (GGA-PBE) results for a geometry-optimized ReGeOF2 structure.

```
data_ReGeOF2
_cell_length_a 4.468
_cell_length_b 4.468
_cell_length_c 3.828
_cell_angle_alpha 90.00
_cell_angle_beta 90.00
_cell_angle_gamma 90.00
_symmetry_space_group_name_H-M 'P 4/m m m'
_symmetry_Int_Tables_number 123
_symmetry_space_group_name_Hall '-P 4 2'
loop_
_atom_site_label
_atom_site_type_symbol
_atom_site_fract_x
_atom_site_fract_y
_atom_site_fract_z
_atom_site_occupancy
Re1 Re 0.000 0.000 0.000 1
Ge1 Ge 0.500 0.500 0.500 1
O1 O 0.500 0.500 0.000 1
F1 F 0.000 0.500 0.500 1
```

Calculated values
As for the energy relative to the lowest polymorph listed for this composition: 574 meV/atom. As for the raw formation energy: -0.50 eV per formula unit.

DFT (GGA-PBE) results for a geometry-optimized Na3Pu2NpO6 structure.

```
data_Na3Pu2NpO6
_cell_length_a 6.075
_cell_length_b 10.522
_cell_length_c 5.986
_cell_angle_alpha 90.00
_cell_angle_beta 109.79
_cell_angle_gamma 90.00
_symmetry_space_group_name_H-M 'C 1 2/m 1'
_symmetry_Int_Tables_number 12
loop_
_symmetry_equiv_pos_as_xyz
'x,y,z'
'-x,-y,-z'
'-x,y,-z'
'x,-y,z'
'x+1/2,y+1/2,z'
'-x+1/2,-y+1/2,-z'
'-x+1/2,y+1/2,-z'
'x+1/2,-y+1/2,z'
loop_
_atom_site_label
_atom_site_type_symbol
_atom_site_fract_x
_atom_site_fract_y
_atom_site_fract_z
_atom_site_occupancy
Na1 Na 0.000 0.000 0.000 1
Na2 Na 0.000 0.334 0.000 1
Pu1 Pu 0.000 0.167 0.500 1
Np1 Np 0.000 0.500 0.500 1
O1 O 0.235 0.337 0.716 1
O2 O 0.246 0.000 0.715 1
```

Calculated values
As for the raw formation energy: -28.33 eV per formula unit.

DFT (GGA-PBE) results for a geometry-optimized RbMoPS2 structure.

```
data_RbMoPS2
_cell_length_a 5.180
_cell_length_b 5.180
_cell_length_c 5.144
_cell_angle_alpha 90.00
_cell_angle_beta 90.00
_cell_angle_gamma 90.00
_symmetry_space_group_name_H-M 'P 4/m m m'
_symmetry_Int_Tables_number 123
_symmetry_space_group_name_Hall '-P 4 2'
loop_
_atom_site_label
_atom_site_type_symbol
_atom_site_fract_x
_atom_site_fract_y
_atom_site_fract_z
_atom_site_occupancy
Rb1 Rb 0.000 0.000 0.000 1
Mo1 Mo 0.500 0.500 0.500 1
P1 P 0.000 0.000 0.500 1
S1 S 0.000 0.500 0.000 1
```

Calculated values
As for the energy relative to the lowest polymorph listed for this composition: 2792 meV/atom. As for the raw formation energy: 12.44 eV per formula unit.

DFT (GGA-PBE) results for a geometry-optimized V2SiBr structure.

```
data_V2SiBr
_cell_length_a 5.649
_cell_length_b 5.649
_cell_length_c 11.883
_cell_angle_alpha 90.00
_cell_angle_beta 90.00
_cell_angle_gamma 90.00
_symmetry_space_group_name_H-M 'I -4 2 d'
_symmetry_Int_Tables_number 122
_symmetry_space_group_name_Hall 'I -4 2bw'
loop_
_atom_site_label
_atom_site_type_symbol
_atom_site_fract_x
_atom_site_fract_y
_atom_site_fract_z
_atom_site_occupancy
V1 V 0.225 0.250 0.125 1
Si1 Si 0.000 0.000 0.000 1
Br1 Br 0.000 0.000 0.500 1
```

Calculated values
As for the energy relative to the lowest polymorph listed for this composition: 201 meV/atom. As for the raw formation energy: 2.18 eV per formula unit.